The following is a GGA-PBEsol calculation of crystalline BeCdBr2 at its relaxed geometry, from Alexandria via LeMat-Bulk.

Magnetization   0.000 μB per formula unit
Distance to the lowest polymorph of the same formula   1.80 eV per formula unit
Fermi-level density of states   0.416 states/eV/atom
VASP energy   -1.969 eV/atom

Cell lengths 3.823, 3.919, 6.335 Å; angles 90.00, 90.00, 90.00 degrees
Positions (direct):
Be1 0.000 0.500 0.500
Br1 0.000 0.000 0.000
Br2 0.500 0.000 0.500
Cd1 0.500 0.500 0.000